Record 1
VASP calculation (PBE) on a geometry-optimized Ac2SnPdS6 structure.

Computed properties:
- theoretical density (g cm⁻³) = 6.01
- formation energy (no corrections) (eV/atom) = -1.24

The structure in CIF format:
```
data_Ac2SnPdS6
_chemical_formula_sum 'Ac4 Sn2 Pd2 S12'
_cell_length_a 6.518
_cell_length_b 7.855
_cell_length_c 11.397
_cell_angle_alpha 90.00
_cell_angle_beta 124.37
_cell_angle_gamma 90.00
_space_group_name_H-M_alt 'P 1 21/c 1'
_space_group_IT_number 14
_space_group_name_Hall '-P 2ybc'
loop_
_atom_site_label
_atom_site_fract_x
_atom_site_fract_y
_atom_site_fract_z
Ac1 0.207 0.109 0.255
Sn1 0.500 0.000 0.000
Pd1 0.000 0.000 0.500
S1 0.141 0.168 0.956
S2 0.262 0.674 0.954
S3 0.356 0.031 0.737
```



Record 2
VASP calculation (PBE) on a geometry-optimized NiRuAuSe2 structure.

Computed properties:
- theoretical density (g cm⁻³) = 7.48
- formation energy (no corrections) (eV/atom) = 0.89

The structure in CIF format:
```
data_NiRuAuSe2
_chemical_formula_sum 'Ni1 Ru1 Au1 Se2'
_cell_length_a 4.687
_cell_length_b 4.687
_cell_length_c 5.200
_cell_angle_alpha 90.00
_cell_angle_beta 90.00
_cell_angle_gamma 90.00
_space_group_name_H-M_alt 'P 4/m m m'
_space_group_IT_number 123
_space_group_name_Hall '-P 4 2'
loop_
_atom_site_label
_atom_site_fract_x
_atom_site_fract_y
_atom_site_fract_z
Ni1 0.000 0.000 0.000
Ru1 0.500 0.500 0.500
Au1 0.500 0.500 0.000
Se1 0.000 0.500 0.500
```



Record 3
VASP calculation (PBE) on a geometry-optimized TlHCl2 structure.

Computed properties:
- theoretical density (g cm⁻³) = 3.42
- E above lowest polymorph (meV per atom) = 4

The structure in CIF format:
```
data_TlHCl2
_chemical_formula_sum 'Tl3 H3 Cl6'
_cell_length_a 5.0322
_cell_length_b 5.0322
_cell_length_c 18.3783
_cell_angle_alpha 90.00
_cell_angle_beta 90.00
_cell_angle_gamma 120.00
_space_group_name_H-M_alt 'R -3 m'
_space_group_IT_number 166
_space_group_name_Hall '-R 3 2"'
loop_
_atom_site_label
_atom_site_fract_x
_atom_site_fract_y
_atom_site_fract_z
Tl1 0.0000 0.0000 0.0000
H1 0.0000 0.0000 0.5000
Cl1 0.0000 0.0000 0.4152
```



Record 4
VASP calculation (PBE) on a geometry-optimized Zr3Zn2Pd structure.

Computed properties:
- theoretical density (g cm⁻³) = 7.55
- ΔH_f (0 K) (eV per atom) = -0.370

The structure in CIF format:
```
data_Zr3Zn2Pd
_chemical_formula_sum 'Zr3 Zn2 Pd1'
_cell_length_a 3.350
_cell_length_b 3.350
_cell_length_c 10.007
_cell_angle_alpha 90.00
_cell_angle_beta 90.00
_cell_angle_gamma 90.00
_space_group_name_H-M_alt 'P 4/m m m'
_space_group_IT_number 123
_space_group_name_Hall '-P 4 2'
loop_
_atom_site_label
_atom_site_fract_x
_atom_site_fract_y
_atom_site_fract_z
Zr1 0.000 0.000 0.000
Zr2 0.000 0.000 0.331
Zn1 0.500 0.500 0.165
Pd1 0.500 0.500 0.500
```



Record 5
VASP calculation (PBE) on a geometry-optimized HgSb3Mo structure.

Computed properties:
- theoretical density (g cm⁻³) = 7.48
- formation energy (no corrections) (eV/atom) = 0.40
- E above lowest polymorph (meV per atom) = 0

The structure in CIF format:
```
data_HgSb3Mo
_chemical_formula_sum 'Hg1 Sb3 Mo1'
_cell_length_a 5.276
_cell_length_b 5.276
_cell_length_c 5.276
_cell_angle_alpha 90.00
_cell_angle_beta 90.00
_cell_angle_gamma 90.00
_space_group_name_H-M_alt 'P m -3 m'
_space_group_IT_number 221
_space_group_name_Hall '-P 4 2 3'
loop_
_atom_site_label
_atom_site_fract_x
_atom_site_fract_y
_atom_site_fract_z
Hg1 0.000 0.000 0.000
Sb1 0.000 0.500 0.500
Mo1 0.500 0.500 0.500
```



Record 6
VASP calculation (PBE) on a geometry-optimized Sm3Cu2Au4 structure.

Computed properties:
- theoretical density (g cm⁻³) = 11.51
- ΔH_f (0 K) (eV per atom) = -0.627

The structure in CIF format:
```
data_Sm3Cu2Au4
_chemical_formula_sum 'Sm6 Cu4 Au8'
_cell_length_a 10.697
_cell_length_b 4.623
_cell_length_c 8.677
_cell_angle_alpha 90.00
_cell_angle_beta 113.29
_cell_angle_gamma 90.00
_space_group_name_H-M_alt 'C 1 2/m 1'
_space_group_IT_number 12
_space_group_name_Hall '-C 2y'
loop_
_atom_site_label
_atom_site_fract_x
_atom_site_fract_y
_atom_site_fract_z
Sm1 0.000 0.000 0.000
Sm2 0.165 0.500 0.668
Cu1 0.112 0.500 0.287
Au1 0.063 0.000 0.385
Au2 0.215 0.500 0.065
```



Record 7
VASP calculation (PBE) on a geometry-optimized PmEuCuBi structure.

Computed properties:
- theoretical density (g cm⁻³) = 8.50
- ΔH_f (0 K) (eV per atom) = -0.398

The structure in CIF format:
```
data_PmEuCuBi
_chemical_formula_sum 'Pm4 Eu4 Cu4 Bi4'
_cell_length_a 7.634
_cell_length_b 7.634
_cell_length_c 7.634
_cell_angle_alpha 90.00
_cell_angle_beta 90.00
_cell_angle_gamma 90.00
_space_group_name_H-M_alt 'F -4 3 m'
_space_group_IT_number 216
_space_group_name_Hall 'F -4 2 3'
loop_
_atom_site_label
_atom_site_fract_x
_atom_site_fract_y
_atom_site_fract_z
Pm1 0.000 0.000 0.000
Eu1 0.000 0.000 0.500
Cu1 0.250 0.250 0.750
Bi1 0.250 0.250 0.250
```



Record 8
VASP calculation (PBE) on a geometry-optimized Tb8DyMg2 structure.

Computed properties:
- theoretical density (g cm⁻³) = 7.12
- E above lowest polymorph (meV per atom) = 122
- ΔH_f (0 K) (eV per atom) = 0.137

The structure in CIF format:
```
data_Tb8DyMg2
_chemical_formula_sum 'Tb16 Dy2 Mg4'
_cell_length_a 8.759
_cell_length_b 15.513
_cell_length_c 5.666
_cell_angle_alpha 90.00
_cell_angle_beta 116.12
_cell_angle_gamma 90.00
_space_group_name_H-M_alt 'C 1 2/m 1'
_space_group_IT_number 12
_space_group_name_Hall '-C 2y'
loop_
_atom_site_label
_atom_site_fract_x
_atom_site_fract_y
_atom_site_fract_z
Tb1 0.000 0.212 0.000
Tb2 0.093 0.500 0.796
Tb3 0.209 0.112 0.632
Dy1 0.000 0.000 0.000
Mg1 0.000 0.307 0.500
```



Question: Which of these has the lowest theoretical density?
Answer: TlHCl2